DFT (GGA+U) results for an optimized crystal structure of Rb2VSbF6.

a b c (Å): 7.017 7.017 8.516
angles (deg): 90.00 90.00 90.00
Space group I4/mmm (No. 139)
One atom of each set of equivalent atoms:
Rb  0.000  0.500  0.250
V  0.000  0.000  0.000
Sb  0.000  0.000  0.500
F  0.000  0.000  0.241
F  0.196  0.196  0.000

Output
N(E_F)   0.00 states/eV/atom
Magnetic moment   0.0 μB per formula unit
Uncorrected energy   -4.848 eV per atom